This record from the Alexandria database describes a geometry-optimized Pu2AgF8 structure. The functional is PBE-GGA.

POSCAR file:
```
Pu2AgF8
1.0
7.595 -1.897 0.000
7.595 1.897 0.000
-1.886 0.000 5.483
Pu Ag F
2 1 8
direct
0.173 0.173 0.186 Pu
0.827 0.827 0.814 Pu
0.500 0.500 0.500 Ag
0.047 0.047 0.294 F
0.215 0.215 0.834 F
0.312 0.312 0.541 F
0.395 0.395 0.027 F
0.605 0.605 0.973 F
0.688 0.688 0.459 F
0.785 0.785 0.166 F
0.953 0.953 0.706 F
```

Values from the calculation:
- Energy above the lowest structure with this stoichiometry: 13 meV/atom
- Crystal system: monoclinic
- Electronic total energy: -80.19 eV per cell
- Uncorrected formation energy: -33.7 eV per formula unit



This record from the Alexandria database describes a geometry-optimized PuAgF5 structure. The functional is PBE-GGA.

POSCAR file:
```
PuAgF5
1.0
3.843 -4.692 0.000
3.843 4.692 0.000
-1.734 0.000 8.497
Pu Ag F
2 2 10
direct
0.000 0.000 0.000 Pu
0.000 0.000 0.500 Pu
0.408 0.592 0.750 Ag
0.592 0.408 0.250 Ag
0.069 0.931 0.250 F
0.191 0.763 0.569 F
0.237 0.809 0.931 F
0.266 0.300 0.063 F
0.300 0.266 0.563 F
0.700 0.734 0.437 F
0.734 0.700 0.937 F
0.763 0.191 0.069 F
0.809 0.237 0.431 F
0.931 0.069 0.750 F
```

Values from the calculation:
- Crystal system: monoclinic
- Electronic total energy: -91.39 eV per cell
- Uncorrected formation energy: -19.2 eV per formula unit



This record from the Alexandria database describes a geometry-optimized PuAg3F8 structure. The functional is PBE-GGA.

POSCAR file:
```
PuAg3F8
1.0
5.677 0.000 0.000
0.000 5.677 0.000
0.000 0.000 5.677
Pu Ag F
1 3 8
direct
0.000 0.000 0.000 Pu
0.000 0.500 0.500 Ag
0.500 0.000 0.500 Ag
0.500 0.500 0.000 Ag
0.227 0.227 0.227 F
0.227 0.227 0.773 F
0.227 0.773 0.227 F
0.227 0.773 0.773 F
0.773 0.227 0.227 F
0.773 0.227 0.773 F
0.773 0.773 0.227 F
0.773 0.773 0.773 F
```

Values from the calculation:
- Crystal system: cubic
- Electronic total energy: -62.74 eV per cell
- Uncorrected formation energy: -24.9 eV per formula unit